# 1
Computed, not measured: a geometry-optimized Ba2ScSe4 structure at the PBE level of DFT.

Structure (CIF):
```
data_Ba2ScSe4
_space_group_name_H-M_alt 'P 1'
_space_group_IT_number 1
_cell_length_a 5.209
_cell_length_b 5.209
_cell_length_c 16.407
_cell_angle_alpha 90.00
_cell_angle_beta 90.00
_cell_angle_gamma 90.00
loop_
_space_group_symop_operation_xyz
'x,y,z'
loop_
_atom_site_label
_atom_site_type_symbol
_atom_site_fract_x
_atom_site_fract_y
_atom_site_fract_z
Ba1 Ba 0.000 0.000 0.138
Ba2 Ba 0.000 0.000 0.862
Ba3 Ba 0.500 0.500 0.362
Ba4 Ba 0.500 0.500 0.638
Sc1 Sc 0.000 0.000 0.500
Sc2 Sc 0.500 0.500 0.000
Se1 Se 0.000 0.000 0.334
Se2 Se 0.000 0.000 0.666
Se3 Se 0.000 0.500 0.000
Se4 Se 0.000 0.500 0.500
Se5 Se 0.500 0.000 0.000
Se6 Se 0.500 0.000 0.500
Se7 Se 0.500 0.500 0.166
Se8 Se 0.500 0.500 0.834
```

Values from the calculation:
Formation energy (no corrections) = -1696.8 meV per atom
V = 31.8 Å³ per atom

---

# 2
Computed, not measured: a geometry-optimized BaScSe2 structure at the PBE level of DFT.

Structure (CIF):
```
data_BaScSe2
_space_group_name_H-M_alt 'P 1'
_space_group_IT_number 1
_cell_length_a 3.768
_cell_length_b 3.961
_cell_length_c 14.854
_cell_angle_alpha 90.00
_cell_angle_beta 90.00
_cell_angle_gamma 90.00
loop_
_space_group_symop_operation_xyz
'x,y,z'
loop_
_atom_site_label
_atom_site_type_symbol
_atom_site_fract_x
_atom_site_fract_y
_atom_site_fract_z
Ba1 Ba 0.000 0.000 0.000
Ba2 Ba 0.500 0.500 0.500
Sc1 Sc 0.000 0.500 0.750
Sc2 Sc 0.500 0.000 0.250
Se1 Se 0.000 0.000 0.384
Se2 Se 0.000 0.500 0.180
Se3 Se 0.500 0.000 0.680
Se4 Se 0.500 0.500 0.884
```

Values from the calculation:
Formation energy (no corrections) = -1539.2 meV per atom
V = 27.7 Å³ per atom

---

# 3
Computed, not measured: a geometry-optimized BaSc4Se6 structure at the PBE level of DFT.

Structure (CIF):
```
data_BaSc4Se6
_space_group_name_H-M_alt 'P 1'
_space_group_IT_number 1
_cell_length_a 6.770
_cell_length_b 6.770
_cell_length_c 20.502
_cell_angle_alpha 90.00
_cell_angle_beta 90.00
_cell_angle_gamma 145.65
loop_
_space_group_symop_operation_xyz
'x,y,z'
loop_
_atom_site_label
_atom_site_type_symbol
_atom_site_fract_x
_atom_site_fract_y
_atom_site_fract_z
Ba1 Ba 0.159 0.841 0.750
Ba2 Ba 0.841 0.159 0.250
Sc1 Sc 0.095 0.905 0.125
Sc2 Sc 0.095 0.905 0.375
Sc3 Sc 0.361 0.639 0.038
Sc4 Sc 0.361 0.639 0.462
Sc5 Sc 0.639 0.361 0.538
Sc6 Sc 0.639 0.361 0.962
Sc7 Sc 0.905 0.095 0.625
Sc8 Sc 0.905 0.095 0.875
Se1 Se 0.000 0.000 0.000
Se2 Se 0.000 0.000 0.500
Se3 Se 0.148 0.852 0.250
Se4 Se 0.269 0.731 0.584
Se5 Se 0.269 0.731 0.916
Se6 Se 0.461 0.539 0.152
Se7 Se 0.461 0.539 0.348
Se8 Se 0.539 0.461 0.652
Se9 Se 0.539 0.461 0.848
Se10 Se 0.731 0.269 0.084
Se11 Se 0.731 0.269 0.416
Se12 Se 0.852 0.148 0.750
```

Values from the calculation:
Formation energy (no corrections) = -1731.6 meV per atom
V = 24.1 Å³ per atom

---

What did the first record say?
Computed, not measured: a geometry-optimized Ba2ScSe4 structure at the PBE level of DFT.

Structure (CIF):
```
data_Ba2ScSe4
_space_group_name_H-M_alt 'P 1'
_space_group_IT_number 1
_cell_length_a 5.209
_cell_length_b 5.209
_cell_length_c 16.407
_cell_angle_alpha 90.00
_cell_angle_beta 90.00
_cell_angle_gamma 90.00
loop_
_space_group_symop_operation_xyz
'x,y,z'
loop_
_atom_site_label
_atom_site_type_symbol
_atom_site_fract_x
_atom_site_fract_y
_atom_site_fract_z
Ba1 Ba 0.000 0.000 0.138
Ba2 Ba 0.000 0.000 0.862
Ba3 Ba 0.500 0.500 0.362
Ba4 Ba 0.500 0.500 0.638
Sc1 Sc 0.000 0.000 0.500
Sc2 Sc 0.500 0.500 0.000
Se1 Se 0.000 0.000 0.334
Se2 Se 0.000 0.000 0.666
Se3 Se 0.000 0.500 0.000
Se4 Se 0.000 0.500 0.500
Se5 Se 0.500 0.000 0.000
Se6 Se 0.500 0.000 0.500
Se7 Se 0.500 0.500 0.166
Se8 Se 0.500 0.500 0.834
```

Values from the calculation:
Formation energy (no corrections) = -1696.8 meV per atom
V = 31.8 Å³ per atom

---

- Number 3 is which compound?
  BaSc4Se6